No. 1
Density functional theory data (GGA-PBE) for a relaxed structure of PaZn2.

As for the space-group type: Cmcm. As for the formation energy: 0.02 eV/f.u.

Lattice parameters (Å, degrees): 4.831 10.777 4.259 90.00 90.00 90.00
Positions (direct):
Zn 0.007 0.692 0.000
Zn 0.007 0.308 0.000
Zn 0.826 0.808 0.500
Zn 0.507 0.192 0.000
Zn 0.326 0.308 0.500
Zn 0.326 0.692 0.500
Pa 0.353 0.000 0.500
Pa 0.853 0.500 0.500
Zn 0.826 0.192 0.500
Pa 0.480 0.500 0.000
Zn 0.507 0.808 0.000
Pa 0.980 0.000 0.000

No. 2
Density functional theory data (GGA-PBE) for a relaxed structure of BaReBi.

As for the space-group type: F-43m. The final energy comes out at -15.5 eV/cell.

Lattice parameters (Å, degrees): 5.003 5.003 5.003 60.00 60.00 60.00
Positions (direct):
Re 0.000 0.000 0.000
Bi 0.750 0.750 0.750
Ba 0.250 0.250 0.250

No. 3
Density functional theory data (GGA-PBE) for a relaxed structure of Cu2Ag3.

As for the space-group type: P2/m. As for the formation energy: 0.45 eV/f.u.

Lattice parameters (Å, degrees): 6.855 2.850 8.190 90.00 103.61 90.00
Positions (direct):
Ag 0.810 0.500 0.393
Cu 0.295 0.000 0.897
Cu 0.898 0.000 0.704
Ag 0.500 0.000 0.500
Ag 0.000 0.500 0.000
Ag 0.400 0.500 0.187
Ag 0.190 0.500 0.607
Cu 0.102 0.000 0.296
Cu 0.705 0.000 0.103
Ag 0.600 0.500 0.813

No. 4
Density functional theory data (GGA-PBE) for a relaxed structure of Tm3Lu2ScBi2Os.

As for the space-group type: Amm2. The final energy comes out at -53.3 eV/cell.

Lattice parameters (Å, degrees): 4.200 8.071 8.071 119.98 90.00 90.00
Positions (direct):
Lu 0.500 0.230 0.999
Tm 0.000 0.997 0.619
Lu 0.500 0.999 0.230
Sc 0.500 0.772 0.772
Tm 0.000 0.385 0.385
Os 0.000 0.992 0.992
Bi 0.500 0.337 0.668
Tm 0.000 0.619 0.997
Bi 0.500 0.668 0.337

No. 5
Density functional theory data (GGA-PBE) for a relaxed structure of DySc3O.

As for the space-group type: Pm-3m. The final energy comes out at -33.7 eV/cell.

Lattice parameters (Å, degrees): 4.612 4.612 4.612 90.00 90.00 90.00
Positions (direct):
Sc 0.500 0.500 0.000
Sc 0.000 0.500 0.500
O 0.500 0.500 0.500
Dy 0.000 0.000 0.000
Sc 0.500 0.000 0.500

No. 6
Density functional theory data (GGA-PBE) for a relaxed structure of NbNiGeAu.

As for the space-group type: F-43m. The final energy comes out at -23.7 eV/cell.

Lattice parameters (Å, degrees): 4.469 4.469 4.469 60.00 60.00 60.00
Positions (direct):
Ni 0.750 0.750 0.750
Au 0.500 0.500 0.500
Ge 0.000 0.000 0.000
Nb 0.250 0.250 0.250

No. 7
Density functional theory data (GGA-PBE) for a relaxed structure of LaSi2NiIr.

As for the space-group type: I-4m2. The final energy comes out at -34.6 eV/cell.

Lattice parameters (Å, degrees): 5.868 5.868 5.868 139.10 139.10 59.22
Positions (direct):
Si 0.628 0.628 0.000
Si 0.372 0.372 0.000
Ir 0.750 0.250 0.500
La 0.000 0.000 0.000
Ni 0.250 0.750 0.500

No. 8
Density functional theory data (GGA-PBE) for a relaxed structure of Ho2ErCo2B2N3.

As for the space-group type: I4/mmm. The final energy comes out at -78.7 eV/cell.

Lattice parameters (Å, degrees): 10.191 10.191 10.191 160.55 160.55 27.64
Positions (direct):
Co 0.250 0.750 0.500
N 0.117 0.117 0.000
Ho 0.623 0.623 0.000
B 0.193 0.193 0.000
N 0.500 0.500 0.000
Co 0.750 0.250 0.500
Ho 0.377 0.377 0.000
N 0.883 0.883 0.000
B 0.807 0.807 0.000
Er 0.000 0.000 0.000